Compound: Sr3Pu3TcN8
Source: the Alexandria database
Functional: PBE
Structure: relaxed

Geometry as POSCAR:
```
Sr3Pu3TcN8
1.0
3.410 1.969 5.946
-3.410 1.969 5.946
0.000 -3.937 5.946
Sr Pu Tc N
3 3 1 8
direct
0.000 0.500 0.500
0.500 0.000 0.500
0.500 0.500 0.000
0.000 0.000 0.500
0.000 0.500 0.000
0.500 0.000 0.000
0.500 0.500 0.500
0.235 0.235 0.235
0.246 0.718 0.718
0.282 0.282 0.754
0.282 0.754 0.282
0.718 0.246 0.718
0.718 0.718 0.246
0.754 0.282 0.282
0.765 0.765 0.765
```

Results
* space-group type: R-3m (166)
* E_form (uncorrected): -1165 kJ/mol of formula units

---

Compound: HgPdIO2
Source: the Alexandria database
Functional: PBE
Structure: relaxed

Geometry as POSCAR:
```
HgPdIO2
1.0
4.068 0.000 0.000
0.000 4.068 0.000
0.000 0.000 7.499
Hg Pd I O
1 1 1 2
direct
0.000 0.000 0.000
0.500 0.500 0.500
0.000 0.000 0.500
0.000 0.500 0.000
0.500 0.000 0.000
```

Results
* space-group type: P4/mmm (123)
* energy relative to the lowest polymorph listed for this composition: 339 meV/atom
* E_form (uncorrected): 251 kJ/mol of formula units

---

Compound: Cs2SrO
Source: the Alexandria database
Functional: PBE
Structure: relaxed

Geometry as POSCAR:
```
Cs2SrO
1.0
13.655 0.000 0.000
0.000 13.655 0.000
0.000 0.000 4.737
Cs Sr O
8 4 4
direct
0.070 0.750 0.125
0.250 0.070 0.875
0.250 0.430 0.375
0.430 0.750 0.625
0.570 0.250 0.625
0.750 0.570 0.375
0.750 0.930 0.875
0.930 0.250 0.125
0.000 0.000 0.500
0.000 0.500 0.750
0.500 0.000 0.250
0.500 0.500 0.000
0.000 0.000 0.000
0.000 0.500 0.250
0.500 0.000 0.750
0.500 0.500 0.500
```

Results
* space-group type: I-42d (122)
* energy relative to the lowest polymorph listed for this composition: 0 meV/atom
* E_form (uncorrected): -320 kJ/mol of formula units

---

Compound: FeB3H
Source: the Alexandria database
Functional: PBE
Structure: relaxed

Geometry as POSCAR:
```
FeB3H
1.0
3.731 0.000 0.000
0.000 3.731 0.000
0.000 0.000 3.731
Fe B H
1 3 1
direct
0.000 0.000 0.000
0.000 0.000 0.500
0.000 0.500 0.000
0.500 0.000 0.000
0.500 0.500 0.500
```

Results
* space-group type: Pm-3m (221)
* energy relative to the lowest polymorph listed for this composition: 359 meV/atom

---

M_tot for the records above, in order: 12.87 1.31 0.00 0.83 μB per cell